1.
4
Lattice="-0.1739 -4.1759 -4.4011 -2.2302 -5.6042 0.6762 -1.2656 5.8701 0.8817" Properties=species:S:1:pos:R:3 comment="PBE-GGA LaAlSi2, relaxed" e_form_raw_ev_per_atom=-0.33 pbc="T T T"
Al -1.1598 -4.7180 -1.7969
Si -1.5087 -2.3625 -2.9821
Si -2.3401 -9.5199 -3.6258
La -2.2672 -1.9796 -0.0257

***

2.
11
Lattice="-0.5716 7.2744 -0.6001 -4.1459 -3.6592 4.2550 7.7497 0.8785 3.2678" Properties=species:S:1:pos:R:3 comment="PBE-GGA Rb2ScSb2S6, relaxed" e_form_raw_ev_per_atom=-0.80 pbc="T T T"
Rb 3.8298 0.7263 5.1572
S 2.0277 4.1193 3.3411
S 5.0223 6.0130 2.4316
Sb 1.9411 4.3099 5.7340
S -2.2590 1.9031 4.2088
Sc 3.5891 4.0765 1.3339
S 1.0045 0.3744 3.5816
S 5.2912 2.5906 2.7139
Rb -0.7976 3.7674 1.7655
S -1.9901 -1.5193 4.4911
Sb 1.0911 0.1838 1.1887

***

3.
3
Lattice="-0.9466 3.9711 2.9320 -4.6680 0.9985 1.5735 3.6858 -3.4147 -0.1324" Properties=species:S:1:pos:R:3 comment="PBE-GGA Zn2As, relaxed" formation_enthalpy_0k_ev_per_atom=0.171 polymorph_energy_ev_per_atom=0.152 pbc="T T T"
As 0.0000 0.0000 0.0000
Zn -1.8427 1.6310 1.4787
Zn -3.7718 3.3386 3.0268

***

4.
Entry from Alexandria: crystalline CrHS at its relaxed geometry (PBE-GGA).

extended XYZ file:
```
6
Lattice="-0.2397 3.0190 0.3692 -2.2029 -0.9600 6.4201 4.5894 -1.1111 -0.5411" Properties=species:S:1:pos:R:3 pbc="T T T"
S 3.2863 1.6390 1.3366
S -1.1396 -0.6911 4.9115
H 1.4928 -0.1267 2.0050
Cr 1.8881 1.3192 3.0447
Cr 0.2586 -0.3712 3.2035
H 0.6540 1.0746 4.2431
```

***

no.,total magnetic moment (μB per formula unit),density of states at the Fermi level (states/eV per atom),uncorrected energy (eV/cell)
1,0.0,0.38,-20.8
2,0.0,0.34,-50.0
3,0.0,0.30,-6.7
4,0.0,0.49,-34.5